Compound: CaAlW3
Source: Alexandria via LeMat-Bulk
Functional: GGA-PBE
Structure: relaxed

The structure in POSCAR format:
```
CaAlW3
1.0
4.634 0.000 0.000
0.000 4.634 0.000
0.000 0.000 4.634
Ca Al W
1 1 3
Direct
0.000 0.000 0.000 Ca
0.500 0.500 0.500 Al
0.000 0.000 0.500 W
0.000 0.500 0.000 W
0.500 0.000 0.000 W
```

Calculated values
**SG**: Pm-3m (221)
**Energy relative to the elements**: 3.05 eV per atom
**Crystal system**: cubic
**Distance to the lowest polymorph of the same formula**: 651.7 kJ/mol of formula units



Compound: CaAl2W
Source: Alexandria via LeMat-Bulk
Functional: GGA-PBE
Structure: relaxed

The structure in POSCAR format:
```
CaAl2W
1.0
4.431 0.000 0.000
0.000 4.431 0.000
0.000 0.000 3.785
Ca Al W
1 2 1
Direct
0.000 0.000 0.000 Ca
0.000 0.500 0.500 Al
0.500 0.000 0.500 Al
0.500 0.500 0.000 W
```

Calculated values
**SG**: P4/mmm (123)
**Energy relative to the elements**: 0.41 eV per atom
**Crystal system**: tetragonal
**Distance to the lowest polymorph of the same formula**: 148.6 kJ/mol of formula units



Compound: CaAlW2
Source: Alexandria via LeMat-Bulk
Functional: GGA-PBE
Structure: relaxed

The structure in POSCAR format:
```
CaAlW2
1.0
2.807 -4.720 0.000
2.807 4.720 0.000
0.000 0.000 2.735
Ca Al W
1 1 2
Direct
0.000 0.000 0.000 Ca
0.500 0.500 0.000 Al
0.000 0.500 0.500 W
0.500 0.000 0.500 W
```

Calculated values
**SG**: Cmmm (65)
**Energy relative to the elements**: 0.67 eV per atom
**Crystal system**: orthorhombic



Compound: CaAl2W
Source: Alexandria via LeMat-Bulk
Functional: GGA-PBE
Structure: relaxed

The structure in POSCAR format:
```
CaAl2W
1.0
4.589 -1.422 0.000
4.589 1.422 0.000
-0.590 0.000 5.998
Ca Al W
1 2 1
Direct
0.000 0.000 0.000 Ca
0.240 0.240 0.690 Al
0.760 0.760 0.310 Al
0.500 0.500 0.500 W
```

Calculated values
**SG**: C2/m (12)
**Energy relative to the elements**: 0.17 eV per atom
**Crystal system**: monoclinic
**Distance to the lowest polymorph of the same formula**: 57.0 kJ/mol of formula units



Compound: CaAlW2
Source: Alexandria via LeMat-Bulk
Functional: GGA-PBE
Structure: relaxed

The structure in POSCAR format:
```
CaAlW2
1.0
0.000 3.298 3.298
3.298 0.000 3.298
3.298 3.298 0.000
Ca Al W
1 1 2
Direct
0.000 0.000 0.000 Ca
0.250 0.250 0.250 Al
0.500 0.500 0.500 W
0.750 0.750 0.750 W
```

Calculated values
**SG**: F-43m (216)
**Energy relative to the elements**: 0.48 eV per atom
**Crystal system**: cubic



Compound: Ca3AlW
Source: Alexandria via LeMat-Bulk
Functional: GGA-PBE
Structure: relaxed

The structure in POSCAR format:
```
Ca3AlW
1.0
5.728 0.000 0.000
0.000 5.728 0.000
0.000 0.000 5.728
Ca Al W
3 1 1
Direct
0.000 0.000 0.500 Ca
0.000 0.500 0.000 Ca
0.500 0.000 0.000 Ca
0.000 0.000 0.000 Al
0.500 0.500 0.500 W
```

Calculated values
**SG**: Pm-3m (221)
**Energy relative to the elements**: 1.24 eV per atom
**Crystal system**: cubic
**Distance to the lowest polymorph of the same formula**: 64.8 kJ/mol of formula units



Compound: Ca2AlW2
Source: Alexandria via LeMat-Bulk
Functional: GGA-PBE
Structure: relaxed

The structure in POSCAR format:
```
Ca2AlW2
1.0
-1.948 1.948 7.310
1.948 -1.948 7.310
1.948 1.948 -7.310
Ca Al W
2 1 2
Direct
0.250 0.750 0.500 Ca
0.750 0.250 0.500 Ca
0.000 0.000 0.000 Al
0.421 0.421 0.000 W
0.579 0.579 0.000 W
```

Calculated values
**SG**: I4/mmm (139)
**Energy relative to the elements**: 1.34 eV per atom
**Crystal system**: tetragonal
**Distance to the lowest polymorph of the same formula**: 337.0 kJ/mol of formula units



Compound: CaAl2W
Source: Alexandria via LeMat-Bulk
Functional: GGA-PBE
Structure: relaxed

The structure in POSCAR format:
```
CaAl2W
1.0
-2.317 2.317 9.068
2.317 -2.317 9.068
2.317 2.317 -9.068
Ca Al W
2 4 2
Direct
0.000 0.000 0.000 Ca
0.750 0.250 0.500 Ca
0.253 0.625 0.128 Al
0.375 0.503 0.628 Al
0.497 0.125 0.872 Al
0.875 0.747 0.372 Al
0.250 0.750 0.500 W
0.500 0.500 0.000 W
```

Calculated values
**SG**: I-42d (122)
**Energy relative to the elements**: 0.75 eV per atom
**Crystal system**: tetragonal
**Distance to the lowest polymorph of the same formula**: 279.5 kJ/mol of formula units



Compound: CaAl2W
Source: Alexandria via LeMat-Bulk
Functional: GGA-PBE
Structure: relaxed

The structure in POSCAR format:
```
CaAl2W
1.0
2.909 0.000 0.000
0.000 3.729 0.000
0.000 0.000 7.352
Ca Al W
1 2 1
Direct
0.000 0.000 0.000 Ca
0.000 0.000 0.477 Al
0.500 0.500 0.682 Al
0.500 0.500 0.309 W
```

Calculated values
**SG**: Pmm2 (25)
**Energy relative to the elements**: 0.28 eV per atom
**Crystal system**: orthorhombic
**Distance to the lowest polymorph of the same formula**: 98.3 kJ/mol of formula units



Compound: CaAlW2
Source: Alexandria via LeMat-Bulk
Functional: GGA-PBE
Structure: relaxed

The structure in POSCAR format:
```
CaAlW2
1.0
1.454 0.840 9.847
-1.454 0.840 9.847
0.000 -1.679 9.847
Ca Al W
1 1 2
Direct
0.000 0.000 0.000 Ca
0.500 0.500 0.500 Al
0.242 0.242 0.242 W
0.758 0.758 0.758 W
```

Calculated values
**SG**: R-3m (166)
**Energy relative to the elements**: 0.62 eV per atom
**Crystal system**: trigonal



Compound: CaAl2W
Source: Alexandria via LeMat-Bulk
Functional: GGA-PBE
Structure: relaxed

The structure in POSCAR format:
```
CaAl2W
1.0
1.525 0.881 9.552
-1.525 0.881 9.552
0.000 -1.761 9.552
Ca Al W
1 2 1
Direct
0.000 0.000 0.000 Ca
0.240 0.240 0.240 Al
0.760 0.760 0.760 Al
0.500 0.500 0.500 W
```

Calculated values
**SG**: R-3m (166)
**Energy relative to the elements**: 0.28 eV per atom
**Crystal system**: trigonal
**Distance to the lowest polymorph of the same formula**: 100.1 kJ/mol of formula units



Compound: CaAl2W
Source: Alexandria via LeMat-Bulk
Functional: GGA-PBE
Structure: relaxed

The structure in POSCAR format:
```
CaAl2W
1.0
5.269 0.000 0.000
0.000 2.826 0.000
-2.511 0.000 5.059
Ca Al W
1 2 1
Direct
0.000 0.000 0.000 Ca
0.500 0.000 0.500 Al
0.500 0.500 0.000 Al
0.000 0.500 0.500 W
```

Calculated values
**SG**: P2/m (10)
**Energy relative to the elements**: 0.42 eV per atom
**Crystal system**: monoclinic
**Distance to the lowest polymorph of the same formula**: 155.1 kJ/mol of formula units



Compound: CaAl2W
Source: Alexandria via LeMat-Bulk
Functional: GGA-PBE
Structure: relaxed

The structure in POSCAR format:
```
CaAl2W
1.0
-2.147 2.147 3.957
2.147 -2.147 3.957
2.147 2.147 -3.957
Ca Al W
1 2 1
Direct
0.000 0.000 0.000 Ca
0.250 0.750 0.500 Al
0.750 0.250 0.500 Al
0.500 0.500 0.000 W
```

Calculated values
**SG**: I4/mmm (139)
**Energy relative to the elements**: 0.25 eV per atom
**Crystal system**: tetragonal
**Distance to the lowest polymorph of the same formula**: 89.4 kJ/mol of formula units



Compound: CaAl2W
Source: Alexandria via LeMat-Bulk
Functional: GGA-PBE
Structure: relaxed

The structure in POSCAR format:
```
CaAl2W
1.0
-2.017 2.017 4.618
2.017 -2.017 4.618
2.017 2.017 -4.618
Ca Al W
1 2 1
Direct
0.000 0.000 0.000 Ca
0.500 0.500 0.000 Al
0.750 0.250 0.500 Al
0.250 0.750 0.500 W
```

Calculated values
**SG**: I-4m2 (119)
**Energy relative to the elements**: 0.38 eV per atom
**Crystal system**: tetragonal
**Distance to the lowest polymorph of the same formula**: 136.9 kJ/mol of formula units



Compound: CaAlW3
Source: Alexandria via LeMat-Bulk
Functional: GGA-PBE
Structure: relaxed

The structure in POSCAR format:
```
CaAlW3
1.0
4.702 0.000 0.000
0.000 4.702 0.000
0.000 0.000 4.702
Ca Al W
1 1 3
Direct
0.000 0.000 0.000 Ca
0.500 0.500 0.500 Al
0.000 0.500 0.500 W
0.500 0.000 0.500 W
0.500 0.500 0.000 W
```

Calculated values
**SG**: Pm-3m (221)
**Energy relative to the elements**: 1.69 eV per atom
**Crystal system**: cubic
**Distance to the lowest polymorph of the same formula**: 0.0 kJ/mol of formula units



Compound: CaAl2W
Source: Alexandria via LeMat-Bulk
Functional: GGA-PBE
Structure: relaxed

The structure in POSCAR format:
```
CaAl2W
1.0
4.968 0.000 0.000
0.000 4.968 0.000
0.000 0.000 2.934
Ca Al W
1 2 1
Direct
0.000 0.000 0.000 Ca
0.000 0.500 0.500 Al
0.500 0.000 0.500 Al
0.500 0.500 0.000 W
```

Calculated values
**SG**: P4/mmm (123)
**Energy relative to the elements**: 0.35 eV per atom
**Crystal system**: tetragonal
**Distance to the lowest polymorph of the same formula**: 125.5 kJ/mol of formula units



Compound: CaAlW2
Source: Alexandria via LeMat-Bulk
Functional: GGA-PBE
Structure: relaxed

The structure in POSCAR format:
```
CaAlW2
1.0
3.300 0.000 0.000
0.000 3.300 0.000
0.000 0.000 7.220
Ca Al W
1 1 2
Direct
0.000 0.000 0.000 Ca
0.500 0.500 0.694 Al
0.000 0.000 0.481 W
0.500 0.500 0.306 W
```

Calculated values
**SG**: P4mm (99)
**Energy relative to the elements**: 0.24 eV per atom
**Crystal system**: tetragonal



Compound: CaAlW
Source: Alexandria via LeMat-Bulk
Functional: GGA-PBE
Structure: relaxed

The structure in POSCAR format:
```
CaAlW
1.0
0.000 3.294 3.294
3.294 0.000 3.294
3.294 3.294 0.000
Ca Al W
1 1 1
Direct
0.000 0.000 0.000 Ca
0.250 0.250 0.250 Al
0.500 0.500 0.500 W
```

Calculated values
**SG**: F-43m (216)
**Energy relative to the elements**: 1.05 eV per atom
**Crystal system**: cubic
**Distance to the lowest polymorph of the same formula**: 206.8 kJ/mol of formula units



Compound: CaAl2W
Source: Alexandria via LeMat-Bulk
Functional: GGA-PBE
Structure: relaxed

The structure in POSCAR format:
```
CaAl2W
1.0
3.002 -4.221 0.000
3.002 4.221 0.000
0.000 0.000 2.861
Ca Al W
1 2 1
Direct
0.000 0.000 0.000 Ca
0.000 0.500 0.500 Al
0.500 0.000 0.500 Al
0.500 0.500 0.000 W
```

Calculated values
**SG**: Cmmm (65)
**Energy relative to the elements**: 0.27 eV per atom
**Crystal system**: orthorhombic
**Distance to the lowest polymorph of the same formula**: 94.6 kJ/mol of formula units



Compound: Ca2AlW2
Source: Alexandria via LeMat-Bulk
Functional: GGA-PBE
Structure: relaxed

The structure in POSCAR format:
```
Ca2AlW2
1.0
6.871 0.000 0.000
0.000 6.871 0.000
0.000 0.000 4.923
Ca Al W
4 2 4
Direct
0.173 0.327 0.000 Ca
0.327 0.827 0.000 Ca
0.673 0.173 0.000 Ca
0.827 0.673 0.000 Ca
0.000 0.000 0.500 Al
0.500 0.500 0.500 Al
0.124 0.624 0.500 W
0.376 0.124 0.500 W
0.624 0.876 0.500 W
0.876 0.376 0.500 W
```

Calculated values
**SG**: P4/mbm (127)
**Energy relative to the elements**: 0.64 eV per atom
**Crystal system**: tetragonal
**Distance to the lowest polymorph of the same formula**: 0.0 kJ/mol of formula units



Compound: Ca3AlW
Source: Alexandria via LeMat-Bulk
Functional: GGA-PBE
Structure: relaxed

The structure in POSCAR format:
```
Ca3AlW
1.0
5.515 0.000 0.000
0.000 5.515 0.000
0.000 0.000 5.515
Ca Al W
3 1 1
Direct
0.000 0.000 0.500 Ca
0.000 0.500 0.000 Ca
0.500 0.000 0.000 Ca
0.500 0.500 0.500 Al
0.000 0.000 0.000 W
```

Calculated values
**SG**: Pm-3m (221)
**Energy relative to the elements**: 1.10 eV per atom
**Crystal system**: cubic
**Distance to the lowest polymorph of the same formula**: 0.0 kJ/mol of formula units



Compound: CaAlW
Source: Alexandria via LeMat-Bulk
Functional: GGA-PBE
Structure: relaxed

The structure in POSCAR format:
```
CaAlW
1.0
4.848 0.000 0.000
-2.424 4.199 0.000
0.000 0.000 2.871
Ca Al W
1 1 1
Direct
0.000 0.000 0.000 Ca
0.333 0.667 0.561 Al
0.667 0.333 0.412 W
```

Calculated values
**SG**: P3m1 (156)
**Energy relative to the elements**: 0.58 eV per atom
**Crystal system**: trigonal
**Distance to the lowest polymorph of the same formula**: 71.3 kJ/mol of formula units



Compound: CaAlW
Source: Alexandria via LeMat-Bulk
Functional: GGA-PBE
Structure: relaxed

The structure in POSCAR format:
```
CaAlW
1.0
-1.429 1.429 7.122
1.429 -1.429 7.122
1.429 1.429 -7.122
Ca Al W
1 1 1
Direct
0.000 0.000 0.000 Ca
0.320 0.320 0.000 Al
0.682 0.682 0.000 W
```

Calculated values
**SG**: I4mm (107)
**Energy relative to the elements**: 0.34 eV per atom
**Crystal system**: tetragonal
**Distance to the lowest polymorph of the same formula**: 0.0 kJ/mol of formula units



Compound: CaAl2W
Source: Alexandria via LeMat-Bulk
Functional: GGA-PBE
Structure: relaxed

The structure in POSCAR format:
```
CaAl2W
1.0
0.000 3.325 3.325
3.325 0.000 3.325
3.325 3.325 0.000
Ca Al W
1 2 1
Direct
0.000 0.000 0.000 Ca
0.500 0.500 0.500 Al
0.750 0.750 0.750 Al
0.250 0.250 0.250 W
```

Calculated values
**SG**: F-43m (216)
**Energy relative to the elements**: 0.60 eV per atom
**Crystal system**: cubic
**Distance to the lowest polymorph of the same formula**: 223.7 kJ/mol of formula units



Compound: CaAl2W
Source: Alexandria via LeMat-Bulk
Functional: GGA-PBE
Structure: relaxed

The structure in POSCAR format:
```
CaAl2W
1.0
5.251 -1.398 0.000
5.251 1.398 0.000
-1.352 0.000 4.976
Ca Al W
1 2 1
Direct
0.000 0.000 0.000 Ca
0.462 0.462 0.493 Al
0.760 0.760 0.169 Al
0.210 0.210 0.634 W
```

Calculated values
**SG**: Cm (8)
**Energy relative to the elements**: 0.27 eV per atom
**Crystal system**: monoclinic
**Distance to the lowest polymorph of the same formula**: 94.4 kJ/mol of formula units



Compound: CaAlW4
Source: Alexandria via LeMat-Bulk
Functional: GGA-PBE
Structure: relaxed

The structure in POSCAR format:
```
CaAlW4
1.0
0.000 3.828 3.828
3.828 0.000 3.828
3.828 3.828 0.000
Ca Al W
1 1 4
Direct
0.000 0.000 0.000 Ca
0.250 0.250 0.250 Al
0.125 0.625 0.625 W
0.625 0.125 0.625 W
0.625 0.625 0.125 W
0.625 0.625 0.625 W
```

Calculated values
**SG**: F-43m (216)
**Energy relative to the elements**: 0.52 eV per atom
**Crystal system**: cubic



Compound: CaAl3W
Source: Alexandria via LeMat-Bulk
Functional: GGA-PBE
Structure: relaxed

The structure in POSCAR format:
```
CaAl3W
1.0
4.914 0.000 0.000
0.000 4.914 0.000
0.000 0.000 4.914
Ca Al W
1 3 1
Direct
0.000 0.000 0.000 Ca
0.000 0.000 0.500 Al
0.000 0.500 0.000 Al
0.500 0.000 0.000 Al
0.500 0.500 0.500 W
```

Calculated values
**SG**: Pm-3m (221)
**Energy relative to the elements**: 2.28 eV per atom
**Crystal system**: cubic
**Distance to the lowest polymorph of the same formula**: 1029.9 kJ/mol of formula units



Compound: CaAl2W
Source: Alexandria via LeMat-Bulk
Functional: GGA-PBE
Structure: relaxed

The structure in POSCAR format:
```
CaAl2W
1.0
0.000 3.321 3.321
3.321 0.000 3.321
3.321 3.321 0.000
Ca Al W
1 2 1
Direct
0.000 0.000 0.000 Ca
0.250 0.250 0.250 Al
0.750 0.750 0.750 Al
0.500 0.500 0.500 W
```

Calculated values
**SG**: Fm-3m (225)
**Energy relative to the elements**: 0.31 eV per atom
**Crystal system**: cubic
**Distance to the lowest polymorph of the same formula**: 110.2 kJ/mol of formula units



Compound: CaAlW2
Source: Alexandria via LeMat-Bulk
Functional: GGA-PBE
Structure: relaxed

The structure in POSCAR format:
```
CaAlW2
1.0
4.510 -1.384 0.000
4.510 1.384 0.000
-0.365 0.000 6.235
Ca Al W
1 1 2
Direct
0.000 0.000 0.000 Ca
0.753 0.753 0.303 Al
0.238 0.238 0.690 W
0.487 0.487 0.501 W
```

Calculated values
**SG**: Cm (8)
**Energy relative to the elements**: 0.49 eV per atom
**Crystal system**: monoclinic



Compound: CaAlW2
Source: Alexandria via LeMat-Bulk
Functional: GGA-PBE
Structure: relaxed

The structure in POSCAR format:
```
CaAlW2
1.0
2.771 0.000 0.000
0.000 4.961 0.000
-0.511 0.000 5.304
Ca Al W
1 1 2
Direct
0.000 0.000 0.000 Ca
0.500 0.000 0.500 Al
0.315 0.500 0.754 W
0.685 0.500 0.246 W
```

Calculated values
**SG**: P2/m (10)
**Energy relative to the elements**: 0.59 eV per atom
**Crystal system**: monoclinic